CrCuNi, relaxed, DFT PBE-GGA; space group = No. 216; theoretical density = 7.2 g/cm³; ΔH_f (0 K) = 0.63 eV/atom; calculated total energy = -0.432 Ry per atom
1.0
0.0000 2.7176 2.7176
2.7176 0.0000 2.7176
2.7176 2.7176 0.0000
Cr Cu Ni
1 1 1
direct
0.0000 0.0000 0.0000
0.5000 0.5000 0.5000
0.7500 0.7500 0.7500

=====

ErSi2RuRh, relaxed, DFT PBE-GGA; space group = No. 119; theoretical density = 8.6 g/cm³; formation energy (no corrections) = -1035 meV/atom; calculated total energy = -0.547 Ry per atom
1.0
-2.0566 2.0566 4.8574
2.0566 -2.0566 4.8574
2.0566 2.0566 -4.8574
Er Si Ru Rh
1 2 1 1
direct
0.0000 0.0000 0.0000
0.3739 0.3739 0.0000
0.6261 0.6261 0.0000
0.2500 0.7500 0.5000
0.7500 0.2500 0.5000

=====

MnReRu, relaxed, DFT PBE-GGA; space group = No. 42; theoretical density = 13.4 g/cm³; ΔH_f (0 K) = 0.28 eV/atom; calculated total energy = -0.736 Ry per atom
1.0
0.0000 2.2269 6.3995
1.4848 0.0000 6.3995
1.4848 2.2269 0.0000
Mn Re Ru
1 1 1
direct
0.0000 0.0000 0.0000
0.3377 0.3377 0.6623
0.6644 0.6644 0.3356